1.
KTaPt2 | PBE | optimized geometry

POSCAR file:
```
KTaPt2
1.0
3.033 0.000 0.000
0.000 3.033 0.000
0.000 0.000 8.797
K Ta Pt
1 1 2
Direct
0.000 0.000 0.000 K
0.000 0.000 0.500 Ta
0.500 0.500 0.303 Pt
0.500 0.500 0.697 Pt
```

## Properties
SG = No. 123


2.
KTaPt2 | PBE | optimized geometry

POSCAR file:
```
KTaPt2
1.0
2.879 0.000 0.000
0.000 2.879 0.000
0.000 0.000 9.874
K Ta Pt
1 1 2
Direct
0.000 0.000 0.000 K
0.500 0.500 0.650 Ta
0.000 0.000 0.465 Pt
0.500 0.500 0.255 Pt
```

## Properties
SG = No. 99


The structure with the least stability is 2.


1.
KTaPt3 | PBE | optimized geometry

POSCAR file:
```
KTaPt3
1.0
4.999 0.000 0.000
0.000 4.999 0.000
0.000 0.000 4.999
K Ta Pt
1 1 3
Direct
0.000 0.000 0.000 K
0.500 0.500 0.500 Ta
0.000 0.500 0.500 Pt
0.500 0.000 0.500 Pt
0.500 0.500 0.000 Pt
```

## Properties
SG = No. 221


2.
KTaPt3 | PBE | optimized geometry

POSCAR file:
```
KTaPt3
1.0
4.775 0.000 0.000
0.000 4.775 0.000
0.000 0.000 4.775
K Ta Pt
1 1 3
Direct
0.000 0.000 0.000 K
0.500 0.500 0.500 Ta
0.000 0.000 0.500 Pt
0.000 0.500 0.000 Pt
0.500 0.000 0.000 Pt
```

## Properties
SG = No. 221


The structure with the least stability is 2.


1.
K2TaPt | PBE | optimized geometry

POSCAR file:
```
K2TaPt
1.0
2.883 0.000 0.000
0.000 2.883 0.000
0.000 0.000 11.629
K Ta Pt
2 1 1
Direct
0.000 0.000 0.217 K
0.000 0.000 0.783 K
0.500 0.500 0.500 Ta
0.500 0.500 0.000 Pt
```

## Properties
SG = No. 123


2.
K2TaPt | PBE | optimized geometry

POSCAR file:
```
K2TaPt
1.0
1.496 0.864 11.892
-1.496 0.864 11.892
0.000 -1.727 11.892
K Ta Pt
2 1 1
Direct
0.242 0.242 0.242 K
0.758 0.758 0.758 K
0.000 0.000 0.000 Ta
0.500 0.500 0.500 Pt
```

## Properties
SG = No. 166


3.
K2TaPt | PBE | optimized geometry

POSCAR file:
```
K2TaPt
1.0
3.502 0.000 0.000
0.000 3.506 0.000
-0.169 0.000 10.812
K Ta Pt
2 1 1
Direct
0.000 0.000 0.000 K
0.469 0.500 0.408 K
0.487 0.500 0.732 Ta
0.983 0.000 0.651 Pt
```

## Properties
SG = No. 6


The structure with the least stability is 1.


1.
K2TaPt | PBE | optimized geometry

POSCAR file:
```
K2TaPt
1.0
10.503 -1.681 0.000
10.503 1.681 0.000
-0.771 0.000 3.968
K Ta Pt
2 1 1
Direct
0.148 0.148 0.146 K
0.852 0.852 0.854 K
0.000 0.000 0.500 Ta
0.500 0.500 0.000 Pt
```

## Properties
SG = No. 12


2.
K2TaPt | PBE | optimized geometry

POSCAR file:
```
K2TaPt
1.0
3.758 -2.168 0.000
3.758 2.168 0.000
-2.397 0.000 9.546
K Ta Pt
2 1 1
Direct
0.000 0.000 0.000 K
0.178 0.178 0.555 K
0.753 0.753 0.269 Ta
0.429 0.429 0.297 Pt
```

## Properties
SG = No. 8


The structure with the least stability is 2.